Density functional theory data (PBE) for crystalline ErPaSnBi at its relaxed geometry.

Properties
The total magnetization comes out at 0.32 μB/atom. Its formation energy is -261 meV/atom. Its space group is F-43m, No. 216.

Unit cell a=5.3690 b=5.3690 c=5.3690 alpha=60.00 beta=60.00 gamma=60.00
Closest atoms and distances in Å follow each position.
Fractional positions:
Pa (0.5000, 0.5000, 0.5000)  4 Sn 3.29, 4 Bi 3.29
Bi (0.7500, 0.7500, 0.7500)  4 Pa 3.29, 4 Er 3.29
Sn (0.2500, 0.2500, 0.2500)  4 Pa 3.29, 4 Er 3.29
Er (0.0000, 0.0000, 0.0000)  4 Sn 3.29, 4 Bi 3.29